Entry from Alexandria: a relaxed structure of NaCoSn (PBE).

As for the energy: -4.135 eV per atom. The energy relative to the elements is 0.01 eV/atom. As for the total magnetization: 0.00 Bohr magnetons per cell.

The space group is P4/nmm (No. 129, origin choice 2) and the conventional cell measures 4.233, 4.233 and 7.166 Å, with angles of 90.00, 90.00 and 90.00 degrees. The asymmetric unit holds Na at (0.250, 0.250, 0.164), Co at (0.250, 0.750, 0.500) and Sn at (0.250, 0.250, 0.693).

Entry from Alexandria: a relaxed structure of PrHoSc2Bi4 (PBE).

As for the energy: -5.458 eV per atom. The energy relative to the elements is -0.77 eV/atom. As for the total magnetization: 0.00 Bohr magnetons per cell.

The space group is P2/m (No. 10) and the conventional cell measures 7.632, 4.419 and 7.650 Å, with angles of 90.00, 109.53 and 90.00 degrees. The asymmetric unit holds Pr at (0.000, 0.000, 0.000), Ho at (0.000, 0.500, 0.500), Sc at (0.500, 0.000, 0.500), Sc at (0.500, 0.500, 0.000), Bi at (0.267, 0.000, 0.750) and Bi at (0.271, 0.500, 0.263).

Entry from Alexandria: a relaxed structure of MnSiHg3 (PBE).

As for the energy: -2.249 eV per atom. For the formation energy from raw total energies, the calculation gives 0.851 eV per atom. As for the total magnetization: 2.98 Bohr magnetons per cell. The value obtained for the polymorph energy (0 for the lowest one) is 0.81 eV/f.u.

The space group is Pm-3m (No. 221) and the conventional cell measures 5.129, 5.129 and 5.129 Å, with angles of 90.00, 90.00 and 90.00 degrees. The asymmetric unit holds Mn at (0.000, 0.000, 0.000), Si at (0.500, 0.500, 0.500) and Hg at (0.000, 0.000, 0.500).